# 1
## Tb12NdDy7 (PBE)

Data for a relaxed structure of Tb12NdDy7.

total magnetization: 0.0 μB per formula unit
energy relative to the lowest polymorph listed for this composition: 0 meV per atom
formation enthalpy at 0 K: 294 meV/atom

abc: 8.7076 8.7076 8.7076
angles: 95.03 95.03 95.03
Sites, in units of the cell vectors:
Tb  0.3200  0.1890  0.7496
Tb  0.8110  0.2504  0.6800
Dy  0.3507  0.0152  0.0810
Tb  0.4123  0.4753  0.1455
Tb  0.4753  0.1455  0.4123
Tb  0.2504  0.6800  0.8110
Dy  0.9190  0.6493  0.9848
Tb  0.1455  0.4123  0.4753
Tb  0.6800  0.8110  0.2504
Dy  0.9848  0.9190  0.6493
Tb  0.5247  0.8545  0.5877
Dy  0.0152  0.0810  0.3507
Tb  0.1890  0.7496  0.3200
Tb  0.7496  0.3200  0.1890
Dy  0.5000  0.5000  0.5000
Tb  0.8545  0.5877  0.5247
Dy  0.0810  0.3507  0.0152
Tb  0.5877  0.5247  0.8545
Nd  0.0000  0.0000  0.0000
Dy  0.6493  0.9848  0.9190



# 2
## TbNd8Dy5 (PBE)

Data for a relaxed structure of TbNd8Dy5.

total magnetization: 0.0 μB per formula unit
formation enthalpy at 0 K: 163 meV/atom

abc: 8.7321 8.6618 8.6927
angles: 113.30 98.56 118.03
Sites, in units of the cell vectors:
Dy  0.2964  0.0165  0.8985
Nd  0.0476  0.7725  0.4285
Dy  0.8632  0.9714  0.2839
Nd  0.4714  0.5291  0.2371
Dy  0.5714  0.9817  0.5947
Nd  0.3565  0.2491  0.4756
Nd  0.1002  0.2391  0.7487
Dy  0.9491  0.2522  0.0729
Nd  0.6792  0.2514  0.3292
Tb  0.1644  0.5164  0.5343
Nd  0.6985  0.4602  0.9372
Nd  0.5294  0.7849  0.9041
Nd  0.2188  0.7320  0.1079
Dy  0.8040  0.7436  0.6973